Record 1
# SrPr4Tl5

SrPr4Tl5 after structural relaxation (PBE, Alexandria).

a b c (Å): 3.956 3.956 19.916
angles (deg): 90.00 90.00 90.00
Positions (direct):
Sr1 0.000 0.000 0.000
Pr1 0.000 0.000 0.796
Pr2 0.000 0.000 0.598
Pr3 0.000 0.000 0.204
Pr4 0.000 0.000 0.402
Tl1 0.500 0.500 0.695
Tl2 0.500 0.500 0.891
Tl3 0.500 0.500 0.109
Tl4 0.500 0.500 0.305
Tl5 0.500 0.500 0.500

Results
Symmetry: P4/mmm
Final energy in eV per atom: -3.66


Record 2
# Ti4CuPd7

Ti4CuPd7 after structural relaxation (PBE, Alexandria).

a b c (Å): 4.692 8.490 5.768
angles (deg): 78.11 66.00 73.96
Positions (direct):
Cu1 0.000 0.000 0.000
Pd1 0.794 0.911 0.501
Pd2 0.500 0.000 0.000
Pd3 0.075 0.671 0.180
Pd4 0.363 0.535 0.738
Pd5 0.206 0.089 0.499
Pd6 0.637 0.465 0.262
Pd7 0.925 0.329 0.820
Ti1 0.249 0.334 0.168
Ti2 0.751 0.666 0.832
Ti3 0.415 0.778 0.392
Ti4 0.585 0.222 0.608

Results
Symmetry: C2/m
Final energy in eV per atom: -6.27


Record 3
# Sm4SnPt

Sm4SnPt after structural relaxation (PBE, Alexandria).

a b c (Å): 5.527 6.475 10.739
angles (deg): 90.00 104.91 90.00
Positions (direct):
Sn1 0.155 0.322 0.309
Sn2 0.845 0.822 0.691
Sm1 0.552 0.323 0.104
Sm2 0.700 0.076 0.399
Sm3 0.448 0.823 0.896
Sm4 0.300 0.068 0.600
Sm5 0.105 0.822 0.209
Sm6 0.895 0.322 0.791
Sm7 0.300 0.576 0.601
Sm8 0.700 0.568 0.400
Pt1 0.418 0.322 0.836
Pt2 0.582 0.822 0.164

Results
Symmetry: Cmcm
Final energy in eV per atom: -5.39


Record 4
# RbSb4Pb6

RbSb4Pb6 after structural relaxation (PBE, Alexandria).

a b c (Å): 4.733 9.659 9.659
angles (deg): 120.00 90.00 90.00
Positions (direct):
Sb1 0.500 0.820 0.640
Sb2 0.500 0.820 0.180
Sb3 0.000 0.333 0.667
Sb4 0.500 0.360 0.180
Pb1 0.000 0.907 0.454
Pb2 0.000 0.546 0.454
Pb3 0.500 0.195 0.390
Pb4 0.000 0.546 0.093
Pb5 0.500 0.610 0.805
Pb6 0.500 0.195 0.805
Rb1 0.000 0.000 0.000

Results
E_form (uncorrected) in eV/f.u.: -0.51
Symmetry: P-6m2


Record 5
# NbNi4

NbNi4 after structural relaxation (PBE, Alexandria).

a b c (Å): 5.091 4.082 7.338
angles (deg): 123.63 90.00 90.00
Positions (direct):
Ni1 0.219 0.500 0.500
Ni2 0.500 0.814 0.812
Ni3 0.000 0.814 0.312
Ni4 0.281 0.500 0.000
Ni5 0.781 0.500 0.500
Ni6 0.000 0.186 0.688
Ni7 0.500 0.186 0.188
Ni8 0.719 0.500 0.000
Nb1 0.000 0.000 0.000
Nb2 0.500 0.000 0.500

Results
Symmetry: C2/m
Final energy in eV per atom: -6.64


Record 6
# CeNdFe

CeNdFe after structural relaxation (PBE, Alexandria).

a b c (Å): 5.115 4.068 4.068
angles (deg): 120.00 90.00 90.00
Positions (direct):
Ce1 0.167 0.000 0.000
Nd1 0.667 0.333 0.667
Fe1 0.167 0.667 0.333

Results
Symmetry: P-6m2
Final energy in eV per atom: -6.36